AcMgCuPt | GGA-PBE | optimized geometry

## Properties
Excess energy over the best structure of this formula in the dataset in kJ/mol of atoms: 16.5
Energy of formation from the pure elements in eV/atom: -0.46
Total energy in eV per cell: -17.66

a = 5.047 Å, b = 5.047 Å, c = 5.047 Å
α = 60.00°, β = 60.00°, γ = 60.00°
Atoms (fractional coordinates):
Ac (0.000, 0.000, 0.000)
Mg (0.500, 0.500, 0.500)
Cu (0.250, 0.250, 0.250)
Pt (0.750, 0.750, 0.750)